Entry from Alexandria: a relaxed HgB3Sb crystal (GGA-PBE).

Unit cell a=4.566 b=4.566 c=4.566 alpha=90.00 beta=90.00 gamma=90.00
Space group Pm-3m (No. 221)
Unique sites:
Hg 0.000 0.000 0.000 (multiplicity 1)
B 0.000 0.500 0.500 (multiplicity 3)
Sb 0.500 0.500 0.500 (multiplicity 1)

Summary:
- energy above the lowest structure with this stoichiometry (meV/atom) = 0
- formation energy (no corrections) (eV/atom) = 2.074
- calculated volume (Å³/cell) = 95

Entry from Alexandria: a relaxed AsP2 crystal (GGA-PBE).

Unit cell a=11.403 b=3.323 c=9.005 alpha=90.00 beta=128.44 gamma=90.00
Space group C2/m (No. 12)
Unique sites:
As 0.089 0.000 0.266 (multiplicity 4)
P 0.150 0.500 0.560 (multiplicity 4)
P 0.236 0.500 0.214 (multiplicity 4)

Summary:
- energy above the lowest structure with this stoichiometry (meV/atom) = 254
- energy of formation (meV/atom) = 365
- calculated volume (Å³/cell) = 267

Entry from Alexandria: a relaxed Sr2NdCuO4 crystal (GGA-PBE).

Unit cell a=6.097 b=3.583 c=6.228 alpha=90.00 beta=110.99 gamma=90.00
Space group P2/m (No. 10)
Unique sites:
Sr 0.000 0.000 0.000 (multiplicity 1)
Sr 0.500 0.500 0.000 (multiplicity 1)
Nd 0.000 0.500 0.500 (multiplicity 1)
Cu 0.500 0.000 0.500 (multiplicity 1)
O 0.226 0.000 0.745 (multiplicity 2)
O 0.245 0.500 0.263 (multiplicity 2)

Summary:
- formation energy (no corrections) (eV/atom) = -2.252
- calculated volume (Å³/cell) = 127

Entry from Alexandria: a relaxed SrP3Se crystal (GGA-PBE).

Unit cell a=5.498 b=5.498 c=5.498 alpha=90.00 beta=90.00 gamma=90.00
Space group Pm-3m (No. 221)
Unique sites:
Sr 0.000 0.000 0.000 (multiplicity 1)
P 0.000 0.000 0.500 (multiplicity 3)
Se 0.500 0.500 0.500 (multiplicity 1)

Summary:
- energy above the lowest structure with this stoichiometry (meV/atom) = 1795
- formation energy (no corrections) (eV/atom) = 1.598
- calculated volume (Å³/cell) = 166

Entry from Alexandria: a relaxed In2GaPt crystal (GGA-PBE).

Unit cell a=9.122 b=9.122 c=4.870 alpha=90.00 beta=90.00 gamma=90.00
Space group I-42d (No. 122)
Unique sites:
In 0.150 0.250 0.125 (multiplicity 8)
Ga 0.000 0.000 0.500 (multiplicity 4)
Pt 0.000 0.000 0.000 (multiplicity 4)

Summary:
- energy of formation (meV/atom) = -219
- calculated volume (Å³/cell) = 405

Entry from Alexandria: a relaxed Na2Ac2TiO6 crystal (GGA-PBE).

Unit cell a=6.241 b=10.664 c=5.876 alpha=90.00 beta=101.60 gamma=90.00
Space group C2/m (No. 12)
Unique sites:
Na 0.000 0.127 0.000 (multiplicity 4)
Ac 0.000 0.337 0.500 (multiplicity 4)
Ti 0.000 0.000 0.500 (multiplicity 2)
O 0.174 0.144 0.686 (multiplicity 8)
O 0.223 0.000 0.301 (multiplicity 4)

Summary:
- formation energy (no corrections) (eV/atom) = -2.662
- calculated volume (Å³/cell) = 383

Entry from Alexandria: a relaxed RbIn2H crystal (GGA-PBE).

Unit cell a=7.935 b=7.935 c=7.935 alpha=90.00 beta=90.00 gamma=90.00
Space group Fm-3m (No. 225)
Unique sites:
Rb 0.000 0.000 0.000 (multiplicity 4)
In 0.250 0.250 0.250 (multiplicity 8)
H 0.000 0.000 0.500 (multiplicity 4)

Summary:
- energy above the lowest structure with this stoichiometry (meV/atom) = 443
- calculated volume (Å³/cell) = 500

Entry from Alexandria: a relaxed LaFe4Mo crystal (GGA-PBE).

Unit cell a=7.093 b=7.093 c=7.093 alpha=90.00 beta=90.00 gamma=90.00
Space group F-43m (No. 216)
Unique sites:
La 0.000 0.000 0.000 (multiplicity 4)
Fe 0.124 0.124 0.624 (multiplicity 16)
Mo 0.250 0.250 0.250 (multiplicity 4)

Summary:
- energy of formation (meV/atom) = 335
- calculated volume (Å³/cell) = 357

Entry from Alexandria: a relaxed Tm6AsP2S3 crystal (GGA-PBE).

Unit cell a=17.093 b=3.923 c=7.834 alpha=90.00 beta=103.15 gamma=90.00
Space group C2/m (No. 12)
Unique sites:
Tm 0.003 0.000 0.254 (multiplicity 4)
Tm 0.168 0.500 0.092 (multiplicity 4)
Tm 0.169 0.500 0.578 (multiplicity 4)
As 0.000 0.500 0.000 (multiplicity 2)
P 0.167 0.000 0.334 (multiplicity 4)
S 0.000 0.500 0.500 (multiplicity 2)
S 0.166 0.000 0.833 (multiplicity 4)

Summary:
- formation energy (no corrections) (eV/atom) = -1.808
- calculated volume (Å³/cell) = 512

Entry from Alexandria: a relaxed LaAl2Cu2 crystal (GGA-PBE).

Unit cell a=4.415 b=4.415 c=9.836 alpha=90.00 beta=90.00 gamma=90.00
Space group I4/mmm (No. 139)
Unique sites:
La 0.000 0.000 0.000 (multiplicity 2)
Al 0.000 0.000 0.367 (multiplicity 4)
Cu 0.000 0.500 0.250 (multiplicity 4)

Summary:
- energy of formation (meV/atom) = -365
- calculated volume (Å³/cell) = 192

Entry from Alexandria: a relaxed Zr5Ta4 crystal (GGA-PBE).

Unit cell a=10.472 b=10.472 c=3.402 alpha=90.00 beta=90.00 gamma=90.00
Space group I4/mmm (No. 139)
Unique sites:
Zr 0.000 0.000 0.000 (multiplicity 2)
Zr 0.168 0.168 0.500 (multiplicity 8)
Ta 0.000 0.348 0.000 (multiplicity 8)

Summary:
- energy above the lowest structure with this stoichiometry (meV/atom) = 0
- energy of formation (meV/atom) = 120
- calculated volume (Å³/cell) = 373

Entry from Alexandria: a relaxed TbPm2Zn crystal (GGA-PBE).

Unit cell a=7.676 b=7.676 c=7.676 alpha=90.00 beta=90.00 gamma=90.00
Space group Fm-3m (No. 225)
Unique sites:
Tb 0.000 0.000 0.000 (multiplicity 4)
Pm 0.250 0.250 0.250 (multiplicity 8)
Zn 0.000 0.000 0.500 (multiplicity 4)

Summary:
- energy above the lowest structure with this stoichiometry (meV/atom) = 187
- energy of formation (meV/atom) = 40
- calculated volume (Å³/cell) = 452

Entry from Alexandria: a relaxed SnCNO2 crystal (GGA-PBE).

Unit cell a=4.038 b=4.038 c=4.245 alpha=90.00 beta=90.00 gamma=90.00
Space group P4/mmm (No. 123)
Unique sites:
Sn 0.000 0.000 0.000 (multiplicity 1)
C 0.500 0.500 0.500 (multiplicity 1)
N 0.000 0.000 0.500 (multiplicity 1)
O 0.000 0.500 0.000 (multiplicity 2)

Summary:
- formation energy (no corrections) (eV/atom) = 1.560
- calculated volume (Å³/cell) = 69

Entry from Alexandria: a relaxed La2HgH crystal (GGA-PBE).

Unit cell a=4.786 b=4.786 c=8.762 alpha=90.00 beta=90.00 gamma=90.00
Space group P4/nmm (No. 129, origin choice 2)
Unique sites:
La 0.250 0.250 0.139 (multiplicity 2)
La 0.250 0.750 0.500 (multiplicity 2)
Hg 0.250 0.250 0.774 (multiplicity 2)
H 0.250 0.250 0.418 (multiplicity 2)

Summary:
- energy above the lowest structure with this stoichiometry (meV/atom) = 0
- calculated volume (Å³/cell) = 201

Entry from Alexandria: a relaxed ZrAs2Ru crystal (GGA-PBE).

Unit cell a=5.786 b=5.800 c=8.180 alpha=90.00 beta=90.00 gamma=90.00
Space group F222 (No. 22)
Unique sites:
Zr 0.000 0.000 0.000 (multiplicity 4)
As 0.000 0.000 0.500 (multiplicity 4)
As 0.250 0.250 0.250 (multiplicity 4)
Ru 0.250 0.250 0.750 (multiplicity 4)

Summary:
- energy above the lowest structure with this stoichiometry (meV/atom) = 287
- energy of formation (meV/atom) = -318
- calculated volume (Å³/cell) = 274

Entry from Alexandria: a relaxed ZrAlCu crystal (GGA-PBE).

Unit cell a=3.031 b=3.031 c=10.836 alpha=90.00 beta=90.00 gamma=90.00
Space group I4mm (No. 107)
Unique sites:
Zr 0.000 0.000 0.000 (multiplicity 2)
Al 0.000 0.000 0.689 (multiplicity 2)
Cu 0.000 0.000 0.318 (multiplicity 2)

Summary:
- energy of formation (meV/atom) = -320
- calculated volume (Å³/cell) = 100

Entry from Alexandria: a relaxed Pr3Nd3Tl crystal (GGA-PBE).

Unit cell a=9.668 b=5.803 c=9.672 alpha=90.00 beta=119.96 gamma=90.00
Space group P2_1/m (No. 11)
Unique sites:
Pr 0.020 0.250 0.392 (multiplicity 2)
Pr 0.128 0.750 0.020 (multiplicity 2)
Pr 0.392 0.750 0.873 (multiplicity 2)
Nd 0.255 0.750 0.436 (multiplicity 2)
Nd 0.319 0.250 0.255 (multiplicity 2)
Nd 0.435 0.250 0.681 (multiplicity 2)
Tl 0.167 0.250 0.834 (multiplicity 2)

Summary:
- energy above the lowest structure with this stoichiometry (meV/atom) = 0
- energy of formation (meV/atom) = -68
- calculated volume (Å³/cell) = 470

Entry from Alexandria: a relaxed AcScAsO6 crystal (GGA-PBE).

Unit cell a=5.3115 b=5.3115 c=5.2691 alpha=90.00 beta=90.00 gamma=120.00
Space group P312 (No. 149)
Unique sites:
Ac 0.0000 0.0000 0.0000 (multiplicity 1)
Sc 0.6667 0.3333 0.5000 (multiplicity 1)
As 0.3333 0.6667 0.5000 (multiplicity 1)
O 0.0349 0.3914 0.7026 (multiplicity 6)

Summary:
- formation energy (no corrections) (eV/atom) = -2.368
- calculated volume (Å³/cell) = 129

Entry from Alexandria: a relaxed LiMg4Se crystal (GGA-PBE).

Unit cell a=8.290 b=8.290 c=8.290 alpha=90.00 beta=90.00 gamma=90.00
Space group F-43m (No. 216)
Unique sites:
Li 0.000 0.000 0.000 (multiplicity 4)
Mg 0.125 0.125 0.625 (multiplicity 16)
Se 0.250 0.250 0.250 (multiplicity 4)

Summary:
- formation energy (no corrections) (eV/atom) = 0.055
- calculated volume (Å³/cell) = 570

Entry from Alexandria: a relaxed Pu2MnCu crystal (GGA-PBE).

Unit cell a=2.6611 b=2.6611 c=32.2786 alpha=90.00 beta=90.00 gamma=120.00
Space group R-3m (No. 166, hexagonal axes)
Unique sites:
Pu 0.0000 0.0000 0.0889 (multiplicity 6)
Mn 0.0000 0.0000 0.5000 (multiplicity 3)
Cu 0.0000 0.0000 0.0000 (multiplicity 3)

Summary:
- energy of formation (meV/atom) = 553
- calculated volume (Å³/cell) = 198